A relaxed structure of LaY2Sc. Source: Alexandria via LeMat-Bulk, functional GGA-PBE. Values from VASP.

Geometry as Quantum ESPRESSO input:
```
&SYSTEM
  ibrav = 0, nat = 4, ntyp = 3
/
ATOMIC_SPECIES
La 138.91 La.upf
Y 88.91 Y.upf
Sc 44.96 Sc.upf
CELL_PARAMETERS angstrom
3.980 0.000 0.000
0.000 3.980 0.000
0.000 0.000 8.024
ATOMIC_POSITIONS crystal
La 0.000 0.000 0.000
Y 0.000 0.000 0.456
Y 0.500 0.500 0.718
Sc 0.500 0.500 0.242
```

For the density of states at the Fermi level, the calculation gives 6.479 states/eV/f.u. The value obtained for the calculated formation energy is 0.081 eV per atom. For the volume, the calculation gives 127 Å³ per cell. The energy above the most stable polymorph in this dataset comes out at 4.5 kJ/mol of atoms.